Record 1
Entry from Alexandria: a relaxed CsHfPb2 crystal (GGA-PBE).

Results
relative energy among the computed polymorphs: 12.456 kcal/mol of atoms
final energy: -3.95 eV per atom
energy of formation from the pure elements: 610 meV/atom
density of states at the Fermi level: 1.205 states/eV per atom
calculated volume: 32.2 Å³ per atom

Structure (POSCAR):
```
CsHfPb2
1.0
-3.086 2.297 4.161
-5.295 1.736 -1.027
-4.388 -2.849 2.178
Pb Cs Hf
2 1 1
Cartesian
-9.577 0.888 3.983
-3.192 0.296 1.328
0.000 0.000 0.000
-6.384 0.592 2.656
```

Record 2
Entry from Alexandria: a relaxed Ba2SrCr crystal (GGA-PBE).

Results
relative energy among the computed polymorphs: 3.795 kcal/mol of atoms
final energy: -3.21 eV per atom
energy of formation from the pure elements: 577 meV/atom
density of states at the Fermi level: 0.633 states/eV per atom
calculated volume: 48.2 Å³ per atom

Structure (POSCAR):
```
Ba2SrCr
1.0
10.172 0.000 0.000
0.000 10.172 0.000
5.086 5.086 3.728
Ba Cr Sr
4 2 2
Cartesian
12.715 12.135 2.796
7.629 8.208 2.796
7.050 2.543 0.932
3.122 7.629 0.932
5.086 5.086 0.000
5.086 10.172 1.864
10.172 5.086 1.864
0.000 0.000 0.000
```

Record 3
Entry from Alexandria: a relaxed SrNdGePd crystal (GGA-PBE).

Results
final energy: -4.66 eV per atom
energy of formation from the pure elements: -593 meV/atom
density of states at the Fermi level: 0.682 states/eV per atom
calculated volume: 25.5 Å³ per atom

Structure (POSCAR):
```
SrNdGePd
1.0
-1.029 5.106 -0.636
-3.370 2.417 3.215
1.759 3.487 3.505
Ge Sr Pd Nd
1 1 1 1
Cartesian
-0.660 2.753 1.521
-1.320 5.505 3.042
-1.980 8.258 4.563
0.000 0.000 0.000
```

Copy entry 2 word for word.
Entry from Alexandria: a relaxed Ba2SrCr crystal (GGA-PBE).

Results
relative energy among the computed polymorphs: 3.795 kcal/mol of atoms
final energy: -3.21 eV per atom
energy of formation from the pure elements: 577 meV/atom
density of states at the Fermi level: 0.633 states/eV per atom
calculated volume: 48.2 Å³ per atom

Structure (POSCAR):
```
Ba2SrCr
1.0
10.172 0.000 0.000
0.000 10.172 0.000
5.086 5.086 3.728
Ba Cr Sr
4 2 2
Cartesian
12.715 12.135 2.796
7.629 8.208 2.796
7.050 2.543 0.932
3.122 7.629 0.932
5.086 5.086 0.000
5.086 10.172 1.864
10.172 5.086 1.864
0.000 0.000 0.000
```